Mo3CO: relaxed, PBE+U.

As for the energy relative to the lowest polymorph listed for this composition: 0.000 eV per atom. The space group is Pm-3m (221). As for the electronic total energy: -28.3 eV for the cell shown. The crystal system is cubic. The value obtained for the density of states at the Fermi level is 0.50 states/eV per atom.

```
5
Lattice="4.129 0.000 0.000 0.000 4.129 0.000 0.000 0.000 4.129" Properties=species:S:1:pos:R:3 pbc="T T T"
Mo 0.000 2.065 0.000
Mo 0.000 0.000 2.065
Mo 2.065 0.000 0.000
C 0.000 0.000 0.000
O 2.065 2.065 2.065
```